Entry 1:
# FeCu3S4

A crystal of FeCu3S4 relaxed with PBEsol (SCAN, Alexandria).

a = 6.2284 Å, b = 6.2284 Å, c = 6.2284 Å
α = 131.26°, β = 131.26°, γ = 71.40°
With the nearest neighbours (Å) after each atom.
Fractional positions:
Fe (0.0000, 0.0000, 0.0000)  4 S 2.15
Cu (0.2500, 0.7500, 0.5000)  4 S 2.23
Cu (0.5000, 0.5000, 0.0000)  4 S 2.24
Cu (0.7500, 0.2500, 0.5000)  4 S 2.23
S (0.1204, 0.6358, 0.0000)  1 Fe 2.15, 3 Cu 2.23-2.24
S (0.3642, 0.3642, 0.4846)  1 Fe 2.15, 3 Cu 2.23-2.24
S (0.6358, 0.1204, 0.0000)  1 Fe 2.15, 3 Cu 2.23-2.24
S (0.8796, 0.8796, 0.5154)  1 Fe 2.15, 3 Cu 2.23-2.24

Computed properties:
- D(E_F) (states/eV/f.u.) = 3.560
- space group = I-42m (121)
- raw formation energy (eV per atom) = -0.389

***

Entry 2:
# FeCu5S4

A crystal of FeCu5S4 relaxed with PBEsol (SCAN, Alexandria).

a = 6.5207 Å, b = 3.7648 Å, c = 6.5646 Å
α = 90.00°, β = 109.52°, γ = 90.00°
With the nearest neighbours (Å) after each atom.
Fractional positions:
Fe (0.0000, 0.0000, 0.0000)  4 S 2.25-2.33
Cu (0.2550, 0.0000, 0.7493)  4 S 2.30-2.35
Cu (0.4929, 0.0000, 0.4806)  4 S 2.23-2.34
Cu (0.4961, 0.5000, 0.0064)  4 S 2.29-2.49
Cu (0.7366, 0.5000, 0.7453)  4 S 2.30-2.34
Cu (0.9856, 0.5000, 0.4806)  4 S 2.23-2.33
S (0.3622, 0.5000, 0.6037)  7 Cu 2.30-2.49
S (0.3663, 0.0000, 0.1204)  4 Cu 2.23-2.30, 1 Fe 2.25
S (0.8705, 0.5000, 0.1197)  3 Cu 2.23-2.32, 2 Fe 2.31
S (0.8732, 0.0000, 0.6233)  6 Cu 2.33-2.35, 1 Fe 2.33

Computed properties:
- D(E_F) (states/eV/f.u.) = 3.548
- space group = Pm (6)
- raw formation energy (eV per atom) = -0.256

***

Entry 3:
# Fe2CuSbS

A crystal of Fe2CuSbS relaxed with PBEsol (SCAN, Alexandria).

a = 4.7281 Å, b = 4.7281 Å, c = 5.0902 Å
α = 90.00°, β = 90.00°, γ = 90.00°
With the nearest neighbours (Å) after each atom.
Fractional positions:
Fe (0.0000, 0.5000, 0.0000)  2 Sb 2.36
Fe (0.5000, 0.0000, 0.0000)  2 Sb 2.36
Cu (0.0000, 0.0000, 0.5000)  4 S 3.34, 8 Fe 3.47
Sb (0.5000, 0.5000, 0.0000)  4 Fe 2.36, 2 S 2.55
S (0.5000, 0.5000, 0.5000)  2 Sb 2.55

Computed properties:
- D(E_F) (states/eV/f.u.) = 4.018
- space group = P4/mmm (123)
- raw formation energy (eV per atom) = 1.390

***

Entry 4:
# Fe2Cu10Sb4S13

A crystal of Fe2Cu10Sb4S13 relaxed with PBEsol (SCAN, Alexandria).

a = 8.7931 Å, b = 8.7931 Å, c = 8.7931 Å
α = 109.58°, β = 109.58°, γ = 109.25°
With the nearest neighbours (Å) after each atom.
Fractional positions:
Fe (0.2220, 0.2220, 0.0000)  3 S 2.19-2.26
Fe (0.7780, 0.7780, 0.0000)  3 S 2.19-2.26
Cu (0.0000, 0.2223, 0.2223)  3 S 2.22-2.25
Cu (0.0000, 0.7777, 0.7777)  3 S 2.22-2.25
Cu (0.2223, 0.0000, 0.2223)  3 S 2.22-2.25
Cu (0.2500, 0.7500, 0.5000)  4 S 2.26
Cu (0.2512, 0.5000, 0.7512)  4 S 2.25-2.26
Cu (0.5000, 0.2512, 0.7512)  4 S 2.25-2.26
Cu (0.5000, 0.7488, 0.2488)  4 S 2.25-2.26
Cu (0.7488, 0.5000, 0.2488)  4 S 2.25-2.26
Cu (0.7500, 0.2500, 0.5000)  4 S 2.26
Cu (0.7777, 0.0000, 0.7777)  3 S 2.22-2.25
Sb (0.0058, 0.0058, 0.5595)  3 S 2.46-2.55
Sb (0.4464, 0.4464, 0.4405)  3 S 2.46-2.55
Sb (0.5536, 0.9942, 0.0000)  3 S 2.46-2.55
Sb (0.9942, 0.5536, 0.0000)  3 S 2.46-2.55
S (0.0000, 0.0000, 0.0000)  4 Cu 2.25, 2 Fe 2.26
S (0.0011, 0.2502, 0.4833)  3 Cu 2.22-2.26, 1 Sb 2.46
S (0.2331, 0.7498, 0.7510)  3 Cu 2.22-2.26, 1 Sb 2.46
S (0.2502, 0.0011, 0.4833)  3 Cu 2.22-2.26, 1 Sb 2.46
S (0.2504, 0.4789, 0.0000)  1 Fe 2.19, 2 Cu 2.26
S (0.4789, 0.2504, 0.0000)  1 Fe 2.19, 2 Cu 2.26
S (0.4821, 0.9989, 0.2490)  3 Cu 2.22-2.26, 1 Sb 2.46
S (0.5179, 0.7669, 0.5167)  3 Cu 2.22-2.26, 1 Sb 2.46
S (0.5211, 0.5211, 0.7715)  1 Fe 2.19, 2 Cu 2.26
S (0.7498, 0.2331, 0.7510)  3 Cu 2.22-2.26, 1 Sb 2.46
S (0.7496, 0.7496, 0.2285)  1 Fe 2.19, 2 Cu 2.26
S (0.7669, 0.5179, 0.5167)  3 Cu 2.22-2.26, 1 Sb 2.46
S (0.9989, 0.4821, 0.2490)  3 Cu 2.22-2.26, 1 Sb 2.46

Computed properties:
- D(E_F) (states/eV/f.u.) = 9.366
- space group = I-42m (121)
- raw formation energy (eV per atom) = -0.266

***

Entry 5:
# FeCu2SiS4

A crystal of FeCu2SiS4 relaxed with PBEsol (SCAN, Alexandria).

a = 7.2632 Å, b = 6.2791 Å, c = 6.0374 Å
α = 90.00°, β = 90.00°, γ = 90.00°
With the nearest neighbours (Å) after each atom.
Fractional positions:
Fe (0.0000, 0.1553, 0.0000)  4 S 2.24-2.28
Fe (0.5000, 0.8447, 0.5000)  4 S 2.24-2.28
Cu (0.2463, 0.3240, 0.5144)  4 S 2.25-2.28
Cu (0.2537, 0.6760, 0.0144)  4 S 2.25-2.28
Cu (0.7463, 0.6760, 0.0144)  4 S 2.25-2.28
Cu (0.7537, 0.3240, 0.5144)  4 S 2.25-2.28
Si (0.0000, 0.8280, 0.5026)  4 S 2.15-2.16
Si (0.5000, 0.1720, 0.0026)  4 S 2.15-2.16
S (0.0000, 0.1484, 0.3772)  1 Si 2.15, 2 Cu 2.26, 1 Fe 2.28
S (0.0000, 0.8242, 0.8609)  1 Si 2.16, 1 Fe 2.24, 2 Cu 2.26
S (0.2434, 0.6649, 0.3867)  1 Si 2.16, 2 Cu 2.25-2.28, 1 Fe 2.28
S (0.2566, 0.3351, 0.8867)  1 Si 2.16, 2 Cu 2.25-2.28, 1 Fe 2.28
S (0.5000, 0.1758, 0.3609)  1 Si 2.16, 1 Fe 2.24, 2 Cu 2.26
S (0.5000, 0.8516, 0.8772)  1 Si 2.15, 2 Cu 2.26, 1 Fe 2.28
S (0.7434, 0.3351, 0.8867)  1 Si 2.16, 2 Cu 2.25-2.28, 1 Fe 2.28
S (0.7566, 0.6649, 0.3867)  1 Si 2.16, 2 Cu 2.25-2.28, 1 Fe 2.28

Computed properties:
- space group = Pmn2_1 (31)
- raw formation energy (eV per atom) = -0.561

***

Entry 6:
# FeCu2SnS4

A crystal of FeCu2SnS4 relaxed with PBEsol (SCAN, Alexandria).

a = 5.3714 Å, b = 5.3714 Å, c = 5.2662 Å
α = 90.00°, β = 90.00°, γ = 90.00°
With the nearest neighbours (Å) after each atom.
Fractional positions:
Fe (0.0000, 0.0000, 0.0000)  4 S 2.25
Cu (0.0000, 0.5000, 0.5000)  4 S 2.27
Cu (0.5000, 0.0000, 0.5000)  4 S 2.27
Sn (0.5000, 0.5000, 0.0000)  4 S 2.47
S (0.2327, 0.2327, 0.7342)  1 Fe 2.25, 2 Cu 2.27, 1 Sn 2.47
S (0.2327, 0.7673, 0.2658)  1 Fe 2.25, 2 Cu 2.27, 1 Sn 2.47
S (0.7673, 0.2327, 0.2658)  1 Fe 2.25, 2 Cu 2.27, 1 Sn 2.47
S (0.7673, 0.7673, 0.7342)  1 Fe 2.25, 2 Cu 2.27, 1 Sn 2.47

Computed properties:
- D(E_F) (states/eV/f.u.) = 0.733
- space group = P-42m (111)
- raw formation energy (eV per atom) = -0.437